Material: Tl2CdPb
Method: DFT, PBE
State: relaxed

## Properties
* D(E_F): 0.353 states/eV per atom

Cell and atoms, written as CIF:
```
data_Tl2CdPb
_symmetry_space_group_name_H-M 'I 4/m m m'
_symmetry_Int_Tables_number 139
_symmetry_space_group_name_Hall '-I 4 2'
_cell_length_a 5.364
_cell_length_b 5.364
_cell_length_c 16.334
_cell_angle_alpha 90.00
_cell_angle_beta 90.00
_cell_angle_gamma 90.00
loop_
_atom_site_label
_atom_site_fract_x
_atom_site_fract_y
_atom_site_fract_z
_atom_site_occupancy
Tl1 0.000 0.000 0.136 1
Tl2 0.000 0.500 0.000 1
Cd1 0.000 0.500 0.250 1
Pb1 0.000 0.000 0.362 1
```

Material: TlCd2Pb6
Method: DFT, PBE
State: relaxed

## Properties
* D(E_F): 0.528 states/eV per atom
* offset from the most stable computed form: 297 meV per atom

Cell and atoms, written as CIF:
```
data_TlCd2Pb6
_symmetry_space_group_name_H-M 'P 42/m n m'
_symmetry_Int_Tables_number 136
_symmetry_space_group_name_Hall '-P 4n 2n'
_cell_length_a 6.579
_cell_length_b 6.579
_cell_length_c 15.401
_cell_angle_alpha 90.00
_cell_angle_beta 90.00
_cell_angle_gamma 90.00
loop_
_atom_site_label
_atom_site_fract_x
_atom_site_fract_y
_atom_site_fract_z
_atom_site_occupancy
Tl1 0.000 0.000 0.000 1
Cd1 0.000 0.000 0.340 1
Pb1 0.180 0.180 0.500 1
Pb2 0.186 0.186 0.179 1
```

Material: Tl6CdPb2
Method: DFT, PBE
State: relaxed

## Properties
* D(E_F): 0.515 states/eV per atom
* offset from the most stable computed form: 0 meV per atom

Cell and atoms, written as CIF:
```
data_Tl6CdPb2
_symmetry_space_group_name_H-M 'P -6 m 2'
_symmetry_Int_Tables_number 187
_symmetry_space_group_name_Hall 'P -6 2'
_cell_length_a 3.5588
_cell_length_b 3.5588
_cell_length_c 25.0881
_cell_angle_alpha 90.00
_cell_angle_beta 90.00
_cell_angle_gamma 120.00
loop_
_atom_site_label
_atom_site_fract_x
_atom_site_fract_y
_atom_site_fract_z
_atom_site_occupancy
Tl1 0.0000 0.0000 0.0639 1
Tl2 0.0000 0.0000 0.2867 1
Tl3 0.3333 0.6667 0.3999 1
Cd1 0.0000 0.0000 0.5000 1
Pb1 0.3333 0.6667 0.1753 1
```

Material: Tl4CdPb3
Method: DFT, PBE
State: relaxed

## Properties
* D(E_F): 0.474 states/eV per atom

Cell and atoms, written as CIF:
```
data_Tl4CdPb3
_symmetry_space_group_name_H-M 'P m n 21'
_symmetry_Int_Tables_number 31
_symmetry_space_group_name_Hall 'P 2ac -2'
_cell_length_a 6.941
_cell_length_b 7.036
_cell_length_c 9.860
_cell_angle_alpha 90.00
_cell_angle_beta 90.00
_cell_angle_gamma 90.00
loop_
_atom_site_label
_atom_site_fract_x
_atom_site_fract_y
_atom_site_fract_z
_atom_site_occupancy
Tl1 0.000 0.000 0.000 1
Tl2 0.000 0.500 0.000 1
Tl3 0.250 0.249 0.249 1
Cd1 0.000 0.001 0.499 1
Pb1 0.000 0.500 0.499 1
Pb2 0.250 0.243 0.750 1
```

Material: Tl16Cd12Pb
Method: DFT, PBE
State: relaxed

## Properties
* D(E_F): 0.404 states/eV per atom

Cell and atoms, written as CIF:
```
data_Tl16Cd12Pb
_symmetry_space_group_name_H-M 'C 1 m 1'
_symmetry_Int_Tables_number 8
_symmetry_space_group_name_Hall 'C -2y'
_cell_length_a 11.787
_cell_length_b 16.533
_cell_length_c 10.034
_cell_angle_alpha 90.00
_cell_angle_beta 123.75
_cell_angle_gamma 90.00
loop_
_atom_site_label
_atom_site_fract_x
_atom_site_fract_y
_atom_site_fract_z
_atom_site_occupancy
Tl1 0.000 0.000 0.000 1
Tl2 0.003 0.000 0.362 1
Tl3 0.012 0.304 0.672 1
Tl4 0.040 0.360 0.358 1
Tl5 0.108 0.500 0.652 1
Tl6 0.199 0.199 0.035 1
Tl7 0.325 0.323 0.359 1
Tl8 0.337 0.338 0.756 1
Tl9 0.346 0.000 0.700 1
Tl10 0.453 0.157 0.967 1
Cd1 0.089 0.093 0.721 1
Cd2 0.139 0.500 0.184 1
Cd3 0.183 0.183 0.540 1
Cd4 0.234 0.407 0.998 1
Cd5 0.271 0.090 0.348 1
Cd6 0.318 0.500 0.542 1
Cd7 0.498 0.317 0.174 1
Pb1 0.317 0.000 0.063 1
```

Material: Tl9Cd2Pb
Method: DFT, PBE
State: relaxed

## Properties
* D(E_F): 0.521 states/eV per atom

Cell and atoms, written as CIF:
```
data_Tl9Cd2Pb
_symmetry_space_group_name_H-M 'P 4/m m m'
_symmetry_Int_Tables_number 123
_symmetry_space_group_name_Hall '-P 4 2'
_cell_length_a 5.236
_cell_length_b 5.236
_cell_length_c 13.047
_cell_angle_alpha 90.00
_cell_angle_beta 90.00
_cell_angle_gamma 90.00
loop_
_atom_site_label
_atom_site_fract_x
_atom_site_fract_y
_atom_site_fract_z
_atom_site_occupancy
Tl1 0.000 0.000 0.000 1
Tl2 0.000 0.000 0.339 1
Tl3 0.000 0.500 0.174 1
Tl4 0.000 0.500 0.500 1
Cd1 0.500 0.500 0.333 1
Pb1 0.500 0.500 0.000 1
```

Material: TlCd3Pb12
Method: DFT, PBE
State: relaxed

## Properties
* D(E_F): 0.407 states/eV per atom

Cell and atoms, written as CIF:
```
data_TlCd3Pb12
_symmetry_space_group_name_H-M 'P 4/m m m'
_symmetry_Int_Tables_number 123
_symmetry_space_group_name_Hall '-P 4 2'
_cell_length_a 4.896
_cell_length_b 4.896
_cell_length_c 20.082
_cell_angle_alpha 90.00
_cell_angle_beta 90.00
_cell_angle_gamma 90.00
loop_
_atom_site_label
_atom_site_fract_x
_atom_site_fract_y
_atom_site_fract_z
_atom_site_occupancy
Tl1 0.000 0.000 0.000 1
Cd1 0.000 0.000 0.251 1
Cd2 0.000 0.000 0.500 1
Pb1 0.000 0.500 0.129 1
Pb2 0.000 0.500 0.376 1
Pb3 0.500 0.500 0.000 1
Pb4 0.500 0.500 0.252 1
Pb5 0.500 0.500 0.500 1
```

Material: Tl3Cd4Pb2
Method: DFT, PBE
State: relaxed

## Properties
* D(E_F): 0.377 states/eV per atom

Cell and atoms, written as CIF:
```
data_Tl3Cd4Pb2
_symmetry_space_group_name_H-M 'P -1'
_symmetry_Int_Tables_number 2
_symmetry_space_group_name_Hall '-P 1'
_cell_length_a 4.558
_cell_length_b 7.588
_cell_length_c 8.005
_cell_angle_alpha 70.82
_cell_angle_beta 74.47
_cell_angle_gamma 89.71
loop_
_atom_site_label
_atom_site_fract_x
_atom_site_fract_y
_atom_site_fract_z
_atom_site_occupancy
Tl1 0.000 0.000 0.000 1
Tl2 0.449 0.659 0.106 1
Cd1 0.117 0.686 0.766 1
Cd2 0.327 0.007 0.340 1
Pb1 0.226 0.325 0.550 1
```

Material: TlCd3Pb2
Method: DFT, PBE
State: relaxed

## Properties
* D(E_F): 0.409 states/eV per atom
* offset from the most stable computed form: 0 meV per atom

Cell and atoms, written as CIF:
```
data_TlCd3Pb2
_symmetry_space_group_name_H-M 'C 1 2/m 1'
_symmetry_Int_Tables_number 12
_symmetry_space_group_name_Hall '-C 2y'
_cell_length_a 14.318
_cell_length_b 4.873
_cell_length_c 10.423
_cell_angle_alpha 90.00
_cell_angle_beta 116.45
_cell_angle_gamma 90.00
loop_
_atom_site_label
_atom_site_fract_x
_atom_site_fract_y
_atom_site_fract_z
_atom_site_occupancy
Tl1 0.129 0.000 0.144 1
Cd1 0.044 0.000 0.391 1
Cd2 0.119 0.500 0.602 1
Cd3 0.219 0.500 0.396 1
Pb1 0.037 0.500 0.852 1
Pb2 0.205 0.000 0.857 1
```

Material: Tl2CdPb
Method: DFT, PBE
State: relaxed

## Properties
* D(E_F): 0.392 states/eV per atom

Cell and atoms, written as CIF:
```
data_Tl2CdPb
_symmetry_space_group_name_H-M 'C m m m'
_symmetry_Int_Tables_number 65
_symmetry_space_group_name_Hall '-C 2 2'
_cell_length_a 3.889
_cell_length_b 5.494
_cell_length_c 11.028
_cell_angle_alpha 90.00
_cell_angle_beta 90.00
_cell_angle_gamma 90.00
loop_
_atom_site_label
_atom_site_fract_x
_atom_site_fract_y
_atom_site_fract_z
_atom_site_occupancy
Tl1 0.000 0.000 0.239 1
Cd1 0.000 0.500 0.000 1
Pb1 0.000 0.500 0.500 1
```

Material: Tl2CdPb
Method: DFT, PBE
State: relaxed

## Properties
* D(E_F): 0.438 states/eV per atom

Cell and atoms, written as CIF:
```
data_Tl2CdPb
_symmetry_space_group_name_H-M 'F -4 3 m'
_symmetry_Int_Tables_number 216
_symmetry_space_group_name_Hall 'F -4 2 3'
_cell_length_a 7.769
_cell_length_b 7.769
_cell_length_c 7.769
_cell_angle_alpha 90.00
_cell_angle_beta 90.00
_cell_angle_gamma 90.00
loop_
_atom_site_label
_atom_site_fract_x
_atom_site_fract_y
_atom_site_fract_z
_atom_site_occupancy
Tl1 0.000 0.000 0.000 1
Tl2 0.250 0.250 0.250 1
Cd1 0.000 0.000 0.500 1
Pb1 0.250 0.250 0.750 1
```

Material: Tl2CdPb3
Method: DFT, PBE
State: relaxed

## Properties
* D(E_F): 0.431 states/eV per atom
* offset from the most stable computed form: 0 meV per atom

Cell and atoms, written as CIF:
```
data_Tl2CdPb3
_symmetry_space_group_name_H-M 'C m c m'
_symmetry_Int_Tables_number 63
_symmetry_space_group_name_Hall '-C 2c 2'
_cell_length_a 9.969
_cell_length_b 10.845
_cell_length_c 6.826
_cell_angle_alpha 90.00
_cell_angle_beta 90.00
_cell_angle_gamma 90.00
loop_
_atom_site_label
_atom_site_fract_x
_atom_site_fract_y
_atom_site_fract_z
_atom_site_occupancy
Tl1 0.174 0.234 0.250 1
Cd1 0.000 0.266 0.750 1
Pb1 0.000 0.000 0.000 1
Pb2 0.164 0.500 0.000 1
```

Material: TlCd16Pb2
Method: DFT, PBE
State: relaxed

## Properties
* D(E_F): 0.268 states/eV per atom

Cell and atoms, written as CIF:
```
data_TlCd16Pb2
_symmetry_space_group_name_H-M 'R 3 m'
_symmetry_Int_Tables_number 160
_symmetry_space_group_name_Hall 'R 3 -2"'
_cell_length_a 10.3226
_cell_length_b 10.3226
_cell_length_c 15.4346
_cell_angle_alpha 90.00
_cell_angle_beta 90.00
_cell_angle_gamma 120.00
loop_
_atom_site_label
_atom_site_fract_x
_atom_site_fract_y
_atom_site_fract_z
_atom_site_occupancy
Tl1 0.0000 0.0000 0.0000 1
Cd1 0.0000 0.0000 0.2048 1
Cd2 0.0001 0.3106 0.0878 1
Cd3 0.1672 0.3344 0.5717 1
Cd4 0.1675 0.3350 0.2699 1
Cd5 0.1684 0.3367 0.9204 1
Pb1 0.0000 0.0000 0.4767 1
Pb2 0.0000 0.0000 0.7033 1
```

Material: Tl4Cd2Pb
Method: DFT, PBE
State: relaxed

## Properties
* D(E_F): 0.590 states/eV per atom

Cell and atoms, written as CIF:
```
data_Tl4Cd2Pb
_symmetry_space_group_name_H-M 'I -4 2 d'
_symmetry_Int_Tables_number 122
_symmetry_space_group_name_Hall 'I -4 2bw'
_cell_length_a 9.519
_cell_length_b 9.519
_cell_length_c 9.366
_cell_angle_alpha 90.00
_cell_angle_beta 90.00
_cell_angle_gamma 90.00
loop_
_atom_site_label
_atom_site_fract_x
_atom_site_fract_y
_atom_site_fract_z
_atom_site_occupancy
Tl1 0.079 0.166 0.303 1
Cd1 0.132 0.250 0.625 1
Pb1 0.000 0.000 0.000 1
```

Material: Tl7Cd2Pb3
Method: DFT, PBE
State: relaxed

## Properties
* D(E_F): 0.344 states/eV per atom

Cell and atoms, written as CIF:
```
data_Tl7Cd2Pb3
_symmetry_space_group_name_H-M 'I m m m'
_symmetry_Int_Tables_number 71
_symmetry_space_group_name_Hall '-I 2 2'
_cell_length_a 3.673
_cell_length_b 5.456
_cell_length_c 36.231
_cell_angle_alpha 90.00
_cell_angle_beta 90.00
_cell_angle_gamma 90.00
loop_
_atom_site_label
_atom_site_fract_x
_atom_site_fract_y
_atom_site_fract_z
_atom_site_occupancy
Tl1 0.000 0.000 0.000 1
Tl2 0.000 0.000 0.233 1
Tl3 0.000 0.500 0.089 1
Tl4 0.000 0.500 0.422 1
Cd1 0.000 0.000 0.150 1
Pb1 0.000 0.000 0.325 1
Pb2 0.000 0.000 0.500 1
```

Material: Tl2CdPb2
Method: DFT, PBE
State: relaxed

## Properties
* D(E_F): 0.556 states/eV per atom
* offset from the most stable computed form: 132 meV per atom

Cell and atoms, written as CIF:
```
data_Tl2CdPb2
_symmetry_space_group_name_H-M 'P 4/m b m'
_symmetry_Int_Tables_number 127
_symmetry_space_group_name_Hall '-P 4 2ab'
_cell_length_a 9.558
_cell_length_b 9.558
_cell_length_c 3.537
_cell_angle_alpha 90.00
_cell_angle_beta 90.00
_cell_angle_gamma 90.00
loop_
_atom_site_label
_atom_site_fract_x
_atom_site_fract_y
_atom_site_fract_z
_atom_site_occupancy
Tl1 0.171 0.329 0.000 1
Cd1 0.000 0.000 0.000 1
Pb1 0.126 0.626 0.500 1
```

Material: Tl3Cd3Pb8
Method: DFT, PBE
State: relaxed

## Properties
* D(E_F): 0.591 states/eV per atom

Cell and atoms, written as CIF:
```
data_Tl3Cd3Pb8
_symmetry_space_group_name_H-M 'I m m m'
_symmetry_Int_Tables_number 71
_symmetry_space_group_name_Hall '-I 2 2'
_cell_length_a 5.041
_cell_length_b 12.257
_cell_length_c 13.997
_cell_angle_alpha 90.00
_cell_angle_beta 90.00
_cell_angle_gamma 90.00
loop_
_atom_site_label
_atom_site_fract_x
_atom_site_fract_y
_atom_site_fract_z
_atom_site_occupancy
Tl1 0.000 0.000 0.000 1
Tl2 0.000 0.000 0.271 1
Cd1 0.000 0.134 0.500 1
Cd2 0.000 0.500 0.000 1
Pb1 0.000 0.302 0.151 1
Pb2 0.000 0.364 0.378 1
```

Material: TlCd2Pb
Method: DFT, PBE
State: relaxed

## Properties
* D(E_F): 0.536 states/eV per atom

Cell and atoms, written as CIF:
```
data_TlCd2Pb
_symmetry_space_group_name_H-M 'P n m a'
_symmetry_Int_Tables_number 62
_symmetry_space_group_name_Hall '-P 2ac 2n'
_cell_length_a 7.299
_cell_length_b 4.797
_cell_length_c 12.600
_cell_angle_alpha 90.00
_cell_angle_beta 90.00
_cell_angle_gamma 90.00
loop_
_atom_site_label
_atom_site_fract_x
_atom_site_fract_y
_atom_site_fract_z
_atom_site_occupancy
Tl1 0.161 0.250 0.033 1
Cd1 0.051 0.750 0.197 1
Cd2 0.064 0.250 0.576 1
Pb1 0.237 0.250 0.326 1
```

Material: Tl5CdPb6
Method: DFT, PBE
State: relaxed

## Properties
* D(E_F): 0.424 states/eV per atom

Cell and atoms, written as CIF:
```
data_Tl5CdPb6
_symmetry_space_group_name_H-M 'C 1 2/m 1'
_symmetry_Int_Tables_number 12
_symmetry_space_group_name_Hall '-C 2y'
_cell_length_a 11.383
_cell_length_b 10.485
_cell_length_c 6.193
_cell_angle_alpha 90.00
_cell_angle_beta 97.30
_cell_angle_gamma 90.00
loop_
_atom_site_label
_atom_site_fract_x
_atom_site_fract_y
_atom_site_fract_z
_atom_site_occupancy
Tl1 0.000 0.000 0.000 1
Tl2 0.000 0.170 0.500 1
Tl3 0.000 0.334 0.000 1
Cd1 0.000 0.500 0.500 1
Pb1 0.244 0.500 0.256 1
Pb2 0.246 0.335 0.747 1
```

Material: Tl2Cd3Pb3
Method: DFT, PBE
State: relaxed

## Properties
* D(E_F): 0.371 states/eV per atom

Cell and atoms, written as CIF:
```
data_Tl2Cd3Pb3
_symmetry_space_group_name_H-M 'I m m m'
_symmetry_Int_Tables_number 71
_symmetry_space_group_name_Hall '-I 2 2'
_cell_length_a 3.616
_cell_length_b 5.606
_cell_length_c 22.473
_cell_angle_alpha 90.00
_cell_angle_beta 90.00
_cell_angle_gamma 90.00
loop_
_atom_site_label
_atom_site_fract_x
_atom_site_fract_y
_atom_site_fract_z
_atom_site_occupancy
Tl1 0.000 0.000 0.244 1
Cd1 0.000 0.000 0.500 1
Cd2 0.000 0.500 0.377 1
Pb1 0.000 0.000 0.000 1
Pb2 0.000 0.500 0.120 1
```

| no. | formation energy from the elements (kcal/mol of atoms) |
| --- | --- |
| 1 | 0.62 |
| 2 | 7.87 |
| 3 | 0.48 |
| 4 | 0.52 |
| 5 | 0.56 |
| 6 | 0.86 |
| 7 | 0.53 |
| 8 | 1.10 |
| 9 | 0.81 |
| 10 | 0.92 |
| 11 | 0.70 |
| 12 | 1.37 |
| 13 | 1.03 |
| 14 | 1.74 |
| 15 | 1.21 |
| 16 | 3.28 |
| 17 | 1.02 |
| 18 | 1.46 |
| 19 | 0.24 |
| 20 | 1.08 |